1.
Computed, not measured: a relaxed SrCr3Ni crystal at the PBE-GGA level of DFT.

Output
E above lowest polymorph ... 0 meV/atom
Crystal system ... cubic
Energy of formation from the pure elements ... 0.910 eV per atom

Lattice parameters (Å, degrees): 4.774 4.774 4.774 90.00 90.00 90.00
Last column: magnetic moment on the atom in μB.
Fractional positions:
Sr (0.500, 0.500, 0.500)  0.07
Cr (0.000, 0.500, 0.000)  3.47
Cr (0.000, 0.000, 0.500)  3.59
Cr (0.500, 0.000, 0.000)  3.36
Ni (0.000, 0.000, 0.000)  0.53

2.
Computed, not measured: a relaxed La12Dy5Tm2 crystal at the PBE-GGA level of DFT.

Output
E above lowest polymorph ... 0 meV/atom
Crystal system ... monoclinic
Energy of formation from the pure elements ... 0.097 eV per atom

Lattice parameters (Å, degrees): 11.744 8.877 9.595 69.83 90.00 131.42
Fractional positions:
La (0.096, 0.192, 0.081)
La (0.047, 0.568, 0.817)
La (0.521, 0.568, 0.817)
La (0.157, 0.794, 0.405)
La (0.637, 0.794, 0.405)
La (0.440, 0.879, 0.783)
La (0.560, 0.121, 0.217)
La (0.843, 0.206, 0.595)
La (0.363, 0.206, 0.595)
La (0.953, 0.432, 0.183)
La (0.479, 0.432, 0.183)
La (0.904, 0.808, 0.919)
Dy (0.219, 0.438, 0.637)
Dy (0.305, 0.609, 0.228)
Dy (0.000, 0.000, 0.500)
Dy (0.695, 0.391, 0.772)
Dy (0.781, 0.562, 0.363)
Tm (0.716, 0.000, 0.000)
Tm (0.284, 0.000, 0.000)

3.
Computed, not measured: a relaxed TcSbSe2 crystal at the PBE-GGA level of DFT.

Output
Uncorrected formation energy ... 0.02 eV per atom
Crystal system ... tetragonal

Lattice parameters (Å, degrees): 3.030 3.030 9.993 90.00 90.00 90.00
Fractional positions:
Sb (0.500, 0.500, 0.750)
Se (0.000, 0.000, 0.093)
Se (0.000, 0.000, 0.407)
Tc (0.500, 0.500, 0.250)

4.
Computed, not measured: a relaxed MnCrFe crystal at the PBE-GGA level of DFT.

Output
E above lowest polymorph ... 524 meV/atom
Crystal system ... cubic
Energy of formation from the pure elements ... 0.587 eV per atom

Lattice parameters (Å, degrees): 3.861 3.861 3.861 60.00 60.00 60.00
Last column: magnetic moment on the atom in μB.
Fractional positions:
Cr (0.750, 0.750, 0.750)  -1.66
Fe (0.000, 0.000, 0.000)  1.71
Mn (0.500, 0.500, 0.500)  2.38

5.
Computed, not measured: a relaxed Ca3RhS crystal at the PBE-GGA level of DFT.

Output
Uncorrected formation energy ... -0.55 eV per atom
E above lowest polymorph ... 0 meV/atom
Crystal system ... cubic

Lattice parameters (Å, degrees): 5.225 5.225 5.225 90.00 90.00 90.00
Fractional positions:
Ca (0.000, 0.500, 0.000)
Ca (0.000, 0.000, 0.500)
Ca (0.500, 0.000, 0.000)
Rh (0.500, 0.500, 0.500)
S (0.000, 0.000, 0.000)

6.
Computed, not measured: a relaxed ZrBi2Pb crystal at the PBE-GGA level of DFT.

Output
Crystal system ... tetragonal
Energy of formation from the pure elements ... -0.090 eV per atom

Lattice parameters (Å, degrees): 3.896 3.896 7.499 90.00 90.00 90.00
Fractional positions:
Pb (0.500, 0.500, 0.500)
Bi (0.000, 0.000, 0.787)
Bi (0.000, 0.000, 0.213)
Zr (0.500, 0.500, 0.000)

7.
Computed, not measured: a relaxed LiGaC crystal at the PBE-GGA level of DFT.

Output
Crystal system ... monoclinic
Energy of formation from the pure elements ... 0.192 eV per atom

Lattice parameters (Å, degrees): 9.371 4.454 4.454 137.94 139.64 40.36
Fractional positions:
C (0.899, 0.045, 0.955)
C (0.101, 0.955, 0.045)
Ga (0.373, 0.256, 0.744)
Ga (0.627, 0.744, 0.256)
Li (0.135, 0.215, 0.785)
Li (0.865, 0.785, 0.215)

8.
Computed, not measured: a relaxed KCeAgF6 crystal at the PBE-GGA level of DFT.

Output
Uncorrected formation energy ... -2.95 eV per atom
Crystal system ... trigonal

Lattice parameters (Å, degrees): 6.292 6.292 10.606 90.00 90.00 120.00
Last column: magnetic moment on the atom in μB.
Fractional positions:
K (0.000, 0.000, 0.000)  0.00
K (0.000, 0.000, 0.500)  0.00
Ce (0.667, 0.333, 0.250)  0.00
Ce (0.333, 0.667, 0.750)  0.00
Ag (0.333, 0.667, 0.250)  0.11
Ag (0.667, 0.333, 0.750)  0.11
F (0.660, 0.622, 0.139)  0.01
F (0.962, 0.340, 0.139)  0.01
F (0.340, 0.962, 0.639)  0.01
F (0.038, 0.660, 0.861)  0.01
F (0.378, 0.340, 0.361)  0.01
F (0.962, 0.622, 0.361)  0.01
F (0.622, 0.962, 0.861)  0.01
F (0.660, 0.038, 0.361)  0.01
F (0.038, 0.378, 0.639)  0.01
F (0.378, 0.038, 0.139)  0.01
F (0.622, 0.660, 0.639)  0.01
F (0.340, 0.378, 0.861)  0.01

9.
Computed, not measured: a relaxed MgPaMnRu crystal at the PBE-GGA level of DFT.

Output
Crystal system ... cubic
Energy of formation from the pure elements ... -0.089 eV per atom

Lattice parameters (Å, degrees): 4.617 4.617 4.617 60.00 60.00 60.00
Last column: magnetic moment on the atom in μB.
Fractional positions:
Ru (0.500, 0.500, 0.500)  0.15
Mg (0.750, 0.750, 0.750)  -0.02
Pa (0.250, 0.250, 0.250)  -0.46
Mn (0.000, 0.000, 0.000)  2.06

10.
Computed, not measured: a relaxed Sm2Zn2Pt5Au crystal at the PBE-GGA level of DFT.

Output
Crystal system ... tetragonal
Energy of formation from the pure elements ... -0.764 eV per atom

Lattice parameters (Å, degrees): 3.895 9.622 9.622 90.00 90.00 90.00
Fractional positions:
Sm (0.000, 0.679, 0.179)
Sm (0.000, 0.321, 0.821)
Sm (0.000, 0.179, 0.321)
Sm (0.000, 0.821, 0.679)
Zn (0.000, 0.120, 0.620)
Zn (0.000, 0.880, 0.380)
Zn (0.000, 0.620, 0.880)
Zn (0.000, 0.380, 0.120)
Pt (0.500, 0.207, 0.065)
Pt (0.500, 0.793, 0.935)
Pt (0.500, 0.065, 0.793)
Pt (0.500, 0.707, 0.435)
Pt (0.500, 0.935, 0.207)
Pt (0.500, 0.293, 0.565)
Pt (0.500, 0.565, 0.707)
Pt (0.500, 0.435, 0.293)
Pt (0.500, 0.500, 0.000)
Pt (0.500, 0.000, 0.500)
Au (0.000, 0.000, 0.000)
Au (0.000, 0.500, 0.500)

11.
Computed, not measured: a relaxed AlSnS2N crystal at the PBE-GGA level of DFT.

Output
Uncorrected formation energy ... 1.44 eV per atom
E above lowest polymorph ... 1440 meV/atom
Crystal system ... tetragonal

Lattice parameters (Å, degrees): 5.071 5.570 5.071 90.00 90.00 90.00
Last column: magnetic moment on the atom in μB.
Fractional positions:
S (0.000, 0.000, 0.500)  0.03
S (0.500, 0.000, 0.000)  0.04
N (0.500, 0.500, 0.500)  1.82
Sn (0.000, 0.000, 0.000)  -0.01
Al (0.000, 0.500, 0.000)  0.00

12.
Computed, not measured: a relaxed Cd4Ag crystal at the PBE-GGA level of DFT.

Output
E above lowest polymorph ... 10 meV/atom
Crystal system ... tetragonal
Energy of formation from the pure elements ... 0.008 eV per atom

Lattice parameters (Å, degrees): 6.887 6.887 5.353 49.96 49.96 90.00
Fractional positions:
Ag (0.000, 0.000, 0.000)
Cd (0.797, 0.604, 0.000)
Cd (0.203, 0.396, 0.000)
Cd (0.604, 0.203, 0.000)
Cd (0.396, 0.797, 0.000)